[1]
Er4Ag | PBE | optimized geometry

Summary:
Magnetic moment, μB per atom: 0.000
E above lowest polymorph, kJ per mole of atoms: 27.7
Energy of formation, eV/atom: 0.2856
SG: No. 221

a = 5.499 Å, b = 5.499 Å, c = 5.499 Å
α = 90.00°, β = 90.00°, γ = 90.00°
Fractional coordinates of all 5 atoms:
Ag  0.500  0.500  0.500
Er  0.500  0.500  0.000
Er  0.000  0.000  0.000
Er  0.000  0.500  0.500
Er  0.500  0.000  0.500

---

[2]
ZnNiPt | PBE | optimized geometry

Summary:
Magnetic moment, μB per atom: 0.001
Energy of formation, eV/atom: -0.2894
SG: No. 5

a = 4.637 Å, b = 8.028 Å, c = 4.618 Å
α = 90.00°, β = 109.68°, γ = 90.00°
Fractional coordinates of all 12 atoms:
Pt  0.500  0.748  0.000
Pt  0.500  0.248  0.500
Pt  0.000  0.064  0.500
Pt  0.000  0.564  0.000
Zn  0.000  0.737  0.500
Zn  0.000  0.408  0.500
Zn  0.000  0.237  0.000
Zn  0.000  0.908  0.000
Ni  0.500  0.077  0.000
Ni  0.500  0.911  0.500
Ni  0.500  0.577  0.500
Ni  0.500  0.411  0.000

---

[3]
Te2OsRh | PBE | optimized geometry

Summary:
Magnetic moment, μB per atom: 0.000
E above lowest polymorph, kJ per mole of atoms: 44.4
Formation energy (no corrections), eV/atom: 0.436
SG: No. 12

a = 4.383 Å, b = 4.383 Å, c = 5.864 Å
α = 77.68°, β = 77.68°, γ = 44.78°
Fractional coordinates of all 4 atoms:
Rh  0.500  0.500  0.000
Te  0.253  0.253  0.746
Te  0.747  0.747  0.254
Os  0.000  0.000  0.500

---

[4]
CaAg2Pd | PBE | optimized geometry

Summary:
Magnetic moment, μB per atom: 0.000
E above lowest polymorph, kJ per mole of atoms: 7.1
Energy of formation, eV/atom: -0.2722
SG: No. 225

a = 4.828 Å, b = 4.828 Å, c = 4.828 Å
α = 60.00°, β = 60.00°, γ = 60.00°
Fractional coordinates of all 4 atoms:
Ag  0.250  0.250  0.250
Ag  0.750  0.750  0.750
Pd  0.500  0.500  0.500
Ca  0.000  0.000  0.000

---

[5]
In2ReRh | PBE | optimized geometry

Summary:
Magnetic moment, μB per atom: 0.000
E above lowest polymorph, kJ per mole of atoms: 10.4
Energy of formation, eV/atom: 0.2563
SG: No. 44

a = 6.071 Å, b = 6.071 Å, c = 6.071 Å
α = 152.36°, β = 134.42°, γ = 54.14°
Fractional coordinates of all 4 atoms:
Rh  0.728  0.228  0.500
In  0.273  0.773  0.500
In  0.972  0.972  0.000
Re  0.527  0.527  0.000

---

[6]
LiCoP | PBE | optimized geometry

Summary:
Magnetic moment, μB per atom: 0.000
Energy of formation, eV/atom: -0.5518
SG: No. 166

a = 3.754 Å, b = 3.754 Å, c = 6.897 Å
α = 74.25°, β = 89.97°, γ = 119.99°
Fractional coordinates of all 6 atoms:
Li  0.092  0.102  0.072
Li  0.839  0.598  0.829
Co  0.589  0.097  0.580
Co  0.342  0.602  0.322
P  0.700  0.319  0.247
P  0.230  0.380  0.655

---

[7]
LaGa2Pd4 | PBE | optimized geometry

Summary:
Magnetic moment, μB per atom: 0.000
E above lowest polymorph, kJ per mole of atoms: 0.2
Energy of formation, eV/atom: -0.7491
SG: No. 136

a = 4.033 Å, b = 7.927 Å, c = 7.927 Å
α = 90.00°, β = 90.00°, γ = 90.00°
Fractional coordinates of all 14 atoms:
La  0.500  0.000  0.000
La  0.000  0.500  0.500
Pd  0.500  0.417  0.834
Pd  0.500  0.834  0.417
Pd  0.000  0.334  0.083
Pd  0.000  0.666  0.917
Pd  0.500  0.166  0.583
Pd  0.500  0.583  0.166
Pd  0.000  0.083  0.334
Pd  0.000  0.917  0.666
Ga  0.000  0.778  0.222
Ga  0.500  0.278  0.278
Ga  0.000  0.222  0.778
Ga  0.500  0.722  0.722

---

[8]
La4SbOs | PBE | optimized geometry

Summary:
Magnetic moment, μB per atom: 0.000
E above lowest polymorph, kJ per mole of atoms: 0.0
Formation energy (no corrections), eV/atom: -0.509
SG: No. 11

a = 6.448 Å, b = 6.947 Å, c = 10.404 Å
α = 90.00°, β = 125.05°, γ = 90.00°
Fractional coordinates of all 12 atoms:
La  0.891  0.005  0.290
La  0.891  0.495  0.290
La  0.728  0.250  0.891
La  0.109  0.505  0.710
La  0.495  0.750  0.592
La  0.272  0.750  0.109
La  0.109  0.995  0.710
La  0.505  0.250  0.408
Os  0.277  0.250  0.576
Os  0.723  0.750  0.424
Sb  0.655  0.750  0.956
Sb  0.345  0.250  0.044

---

[9]
SrHgW2 | PBE | optimized geometry

Summary:
Magnetic moment, μB per atom: 0.000
Energy of formation, eV/atom: 1.0743
SG: No. 47

a = 3.112 Å, b = 4.955 Å, c = 5.379 Å
α = 90.00°, β = 90.00°, γ = 90.00°
Fractional coordinates of all 4 atoms:
Hg  0.500  0.000  0.500
W  0.000  0.000  0.000
W  0.500  0.500  0.000
Sr  0.000  0.500  0.500

---

[10]
Zr2ZnFe | PBE | optimized geometry

Summary:
Magnetic moment, μB per atom: 0.117
Energy of formation, eV/atom: 0.0381
SG: No. 12

a = 3.290 Å, b = 3.290 Å, c = 8.210 Å
α = 78.24°, β = 78.24°, γ = 60.28°
Each line ends with the local moment (μB).
Fractional coordinates of all 4 atoms:
Zr  0.490  0.490  0.528  -0.12
Zr  0.010  0.010  0.972  -0.12
Zn  0.250  0.250  0.250  0.00
Fe  0.750  0.750  0.750  0.81

---

[11]
KSrTe3 | PBE | optimized geometry

Summary:
Magnetic moment, μB per atom: 0.508
E above lowest polymorph, kJ per mole of atoms: 51.2
Formation energy (no corrections), eV/atom: -0.455
SG: No. 221

a = 6.284 Å, b = 6.284 Å, c = 6.284 Å
α = 90.00°, β = 90.00°, γ = 90.00°
Each line ends with the local moment (μB).
Fractional coordinates of all 5 atoms:
Te  0.500  0.000  0.000  0.36
Te  0.000  0.000  0.500  0.49
Te  0.000  0.500  0.000  0.48
Sr  0.000  0.000  0.000  0.01
K  0.500  0.500  0.500  0.00

---

[12]
PrInS3 | PBE | optimized geometry

Summary:
Magnetic moment, μB per atom: 0.000
E above lowest polymorph, kJ per mole of atoms: 11.1
Formation energy (no corrections), eV/atom: -1.146
SG: No. 63

a = 5.118 Å, b = 7.263 Å, c = 6.940 Å
α = 90.00°, β = 111.63°, γ = 90.00°
Fractional coordinates of all 10 atoms:
S  0.034  0.750  0.067
S  0.349  0.971  0.697
S  0.651  0.029  0.303
S  0.966  0.250  0.933
S  0.651  0.471  0.303
S  0.349  0.529  0.697
Pr  0.181  0.250  0.362
Pr  0.819  0.750  0.638
In  0.476  0.250  0.952
In  0.524  0.750  0.048